Entry 1:
The following is a DFT calculation (PBE) of a geometry-optimized NdDySiSe structure.

Values from the calculation:
uncorrected formation energy	-1.29	eV per atom

```
4
Lattice="4.1763 0.0000 0.0000 2.0881 3.6168 0.0000 2.0881 1.2056 6.9188" Properties=species:S:1:pos:R:3 pbc="T T T"
Nd 4.1763 2.4112 4.5293
Dy 6.2644 3.6168 1.2376
Si 2.0881 1.2056 2.8304
Se 6.2644 3.6168 6.4216
```

=====

Entry 2:
The following is a DFT calculation (PBE) of a geometry-optimized ZrZn structure.

Values from the calculation:
formation energy	0.268	eV per atom

```
16
Lattice="-6.6122 -3.6362 6.2192 5.4619 -8.0348 1.1093 2.0242 1.8201 3.2163" Properties=species:S:1:pos:R:3 pbc="T T T"
Zr -2.4922 -8.1387 6.1742
Zr -2.7161 -5.4104 7.5313
Zr 3.5901 -4.4405 3.0136
Zr 1.3419 -3.5323 1.1544
Zr -0.9089 -1.4335 4.1434
Zr 2.2671 -8.5045 3.3859
Zr -3.4173 -3.1665 3.9427
Zr 1.7829 -8.4173 6.4015
Zn -4.9769 -4.8406 5.8717
Zn -0.5848 -8.9028 8.1663
Zn 1.4588 -0.9480 2.3786
Zn 3.8267 -6.8304 1.4569
Zn -3.8490 -2.7553 6.7418
Zn -0.3810 -10.2558 6.0436
Zn -0.7692 -1.4152 1.2850
Zn 4.7230 -7.0956 3.8030
```

=====

Entry 3:
The following is a DFT calculation (PBE) of a geometry-optimized BaBeV structure.

Values from the calculation:
formation energy	0.406	eV per atom

```
6
Lattice="4.3121 0.0000 -0.0017 2.1560 4.4013 -0.0333 0.0314 2.0258 9.6174" Properties=species:S:1:pos:R:3 pbc="T T T"
Be 4.3123 2.2028 0.2351
Be 2.1873 4.2243 9.3473
Ba 2.1568 2.2192 2.7177
Ba 4.3427 4.2079 6.8647
V 3.2316 4.4011 -0.0334
V 3.2679 2.0260 9.6158
```

=====

Entry 4:
The following is a DFT calculation (PBE) of a geometry-optimized Ta2TePt structure.

Values from the calculation:
uncorrected formation energy	-0.06	eV per atom

```
4
Lattice="3.1579 0.0000 0.0000 0.0000 3.1579 0.0000 0.0000 0.0000 7.3062" Properties=species:S:1:pos:R:3 pbc="T T T"
Pt 1.5790 1.5790 5.4797
Ta 0.0000 0.0000 7.2849
Ta 0.0000 0.0000 3.6744
Te 1.5790 1.5790 1.8266
```

=====

Entry 5:
The following is a DFT calculation (PBE) of a geometry-optimized InCoSe structure.

Values from the calculation:
uncorrected formation energy	0.08	eV per atom

```
3
Lattice="4.2953 0.0000 0.0000 2.1476 3.7198 0.0000 2.1476 1.2399 3.5071" Properties=species:S:1:pos:R:3 pbc="T T T"
Co 6.4429 3.7198 2.6303
In 0.0000 0.0000 0.0000
Se 4.2953 2.4799 1.7535
```

=====

Entry 6:
The following is a DFT calculation (PBE) of a geometry-optimized NaLiGa2Ir structure.

Values from the calculation:
formation energy	-0.264	eV per atom

```
5
Lattice="-3.8428 1.8396 2.1597 -2.6247 -0.9252 -3.8821 -1.1148 -4.4622 1.8171" Properties=species:S:1:pos:R:3 pbc="T T T"
Na -3.7912 -1.7739 0.0473
Ir 0.0000 0.0000 0.0000
Ga -1.3123 -0.4626 -1.9411
Ga -1.9214 0.9198 1.0798
Li -0.5574 -2.2311 0.9086
```

=====

Entry 7:
The following is a DFT calculation (PBE) of a geometry-optimized Sm2TmThTe5 structure.

Values from the calculation:
uncorrected formation energy	-0.65	eV per atom

```
9
Lattice="5.4523 0.0000 0.0000 0.0000 5.4523 0.0000 0.0000 0.0000 11.7930" Properties=species:S:1:pos:R:3 pbc="T T T"
Sm 2.7262 2.7262 4.1075
Sm 2.7262 2.7262 7.6855
Tm 0.0000 0.0000 5.8965
Th 0.0000 0.0000 0.0000
Te 0.0000 2.7262 5.8965
Te 2.7262 0.0000 5.8965
Te 0.0000 0.0000 8.8541
Te 0.0000 0.0000 2.9389
Te 2.7262 2.7262 0.0000
```

=====

Entry 8:
The following is a DFT calculation (PBE) of a geometry-optimized SiRu2Rh structure.

Values from the calculation:
uncorrected formation energy	-0.29	eV per atom

```
4
Lattice="-0.5439 -0.3102 -2.7480 -1.8225 -2.0663 0.5939 -5.0088 4.5548 0.4773" Properties=species:S:1:pos:R:3 pbc="T T T"
Rh -4.7456 2.0513 -0.7376
Ru -0.0555 0.0504 0.0053
Ru -2.5695 0.0725 -0.9450
Si -2.5090 2.2816 0.2391
```

=====

Entry 9:
The following is a DFT calculation (PBE) of a geometry-optimized LaYZn2Ga2 structure.

Values from the calculation:
formation energy	-0.576	eV per atom

```
6
Lattice="4.4595 0.0000 0.0000 -2.2298 3.8620 0.0000 0.0000 0.0000 7.6392" Properties=species:S:1:pos:R:3 pbc="T T T"
La 0.0000 0.0000 0.0000
Y 0.0000 0.0000 3.8196
Zn 2.2298 1.2873 5.4820
Zn 0.0000 2.5747 2.1571
Ga 2.2298 1.2873 2.0703
Ga 0.0000 2.5747 5.5689
```

=====

Entry 10:
The following is a DFT calculation (PBE) of a geometry-optimized CsRb2SeO structure.

Values from the calculation:
uncorrected formation energy	-0.90	eV per atom

```
5
Lattice="-1.5762 2.0278 -5.1171 -2.0705 -5.1503 -1.4031 -4.6850 1.3451 1.9761" Properties=species:S:1:pos:R:3 pbc="T T T"
Cs -2.3425 0.6725 0.9880
O 0.0000 0.0000 0.0000
Se -4.1659 -0.8887 -2.2721
Rb -1.0353 -2.5752 -0.7016
Rb -0.7881 1.0139 -2.5586
```

=====

Entry 11:
The following is a DFT calculation (PBE) of a geometry-optimized Rb2Np2CrSe6 structure.

Values from the calculation:
uncorrected formation energy	-1.04	eV per atom

```
11
Lattice="6.9641 0.0177 0.0466 -3.4267 6.0628 0.0466 -1.2758 -2.1930 8.1775" Properties=species:S:1:pos:R:3 pbc="T T T"
Rb 5.1785 1.0565 0.0466
Rb -1.6411 5.0239 0.0466
Np -0.6070 2.9547 4.1354
Np 2.8686 0.9327 4.1354
Cr -0.6379 -1.0965 4.0888
Se 1.8103 3.1117 5.6638
Se -1.6880 0.7608 5.6283
Se 0.4513 0.7758 2.6070
Se 1.4957 -1.0914 5.6283
Se 3.9496 3.1267 2.6425
Se 0.7660 4.9788 2.6425
```

=====

Entry 12:
The following is a DFT calculation (PBE) of a geometry-optimized CaLa2Ho structure.

Values from the calculation:
formation energy	0.098	eV per atom

```
4
Lattice="5.9155 0.0000 0.0000 2.9578 5.1230 0.0000 2.9578 1.7077 4.8300" Properties=species:S:1:pos:R:3 pbc="T T T"
Ca 5.9155 3.4153 2.4150
Ho 0.0000 0.0000 0.0000
La 2.9578 1.7077 1.2075
La 8.8733 5.1230 3.6225
```

=====

Entry 13:
The following is a DFT calculation (PBE) of a geometry-optimized MnCrPd6 structure.

Values from the calculation:
formation energy	0.005	eV per atom

```
8
Lattice="7.3396 0.0008 0.0070 3.6552 6.3499 0.0059 3.6600 2.1213 2.7149" Properties=species:S:1:pos:R:3 pbc="T T T"
Mn 0.0000 0.0000 0.0000
Cr 7.3274 4.2360 1.3639
Pd 4.7522 4.4819 2.0262
Pd 8.4036 1.8795 2.0313
Pd 5.8361 2.1287 0.6940
Pd 6.2513 6.5926 0.6965
Pd 9.9027 3.9902 0.7016
Pd 8.8187 6.3433 2.0338
```

=====

Entry 14:
The following is a DFT calculation (PBE) of a geometry-optimized ZnSb2Se structure.

Values from the calculation:
uncorrected formation energy	0.16	eV per atom

```
8
Lattice="-4.8538 1.0871 -3.6440 1.3304 -5.0497 -3.2787 -5.6560 -5.6623 0.6278" Properties=species:S:1:pos:R:3 pbc="T T T"
Sb -4.1505 -1.3966 -2.4321
Sb -1.3201 -4.4065 -2.4460
Sb -5.5274 -5.8688 -2.2136
Sb -7.3608 -7.5778 -5.4981
Zn -1.7617 -1.9813 -3.4613
Zn -3.0436 -6.3467 -3.0561
Se 0.0000 0.0000 0.0000
Se -6.1357 -3.2782 -3.2388
```

=====

Entry 15:
The following is a DFT calculation (PBE) of a geometry-optimized Ce6Bi2C structure.

Values from the calculation:
formation energy	-0.434	eV per atom

```
18
Lattice="-0.4362 -1.2034 -6.5382 -2.3099 -6.1814 1.2918 -9.6680 3.6093 -0.0164" Properties=species:S:1:pos:R:3 pbc="T T T"
Ce -5.3127 -6.4260 -5.2482
Ce -6.8713 -3.6776 -3.7654
Ce -2.0818 -5.5950 -4.1123
Ce -5.7338 -0.6335 -4.4016
Ce -0.9094 -2.4577 -4.7679
Ce -3.6403 -2.8465 -2.6295
Ce -7.1013 2.6505 -0.0145
Ce -5.5427 -0.0979 -1.4973
Ce -10.3322 1.8195 -1.1505
Ce -6.6802 -3.1420 -0.8611
Ce -11.5046 -1.3178 -0.4948
Ce -8.7737 -0.9290 -2.6332
Bi -8.7776 -1.6107 -5.9020
Bi -7.5336 2.1289 -3.2839
Bi -2.5706 0.2770 -3.2706
Bi -3.6364 -2.1648 0.6393
C -1.3730 -3.6924 -2.6232
C -4.8340 1.8047 -0.0082
```

=====

Entry 16:
The following is a DFT calculation (PBE) of a geometry-optimized LiCu8Ge2 structure.

Values from the calculation:
formation energy	0.079	eV per atom

```
11
Lattice="-0.0770 -1.3383 -4.1652 4.1582 -4.2535 2.9498 -6.4047 0.0950 1.7478" Properties=species:S:1:pos:R:3 pbc="T T T"
Li -0.0385 -0.6691 -2.0826
Cu -0.6665 -4.9303 0.2774
Cu -3.0257 -3.9591 0.0089
Cu -1.3467 -2.8631 1.4771
Cu 1.8735 -3.9979 0.6116
Cu -4.1970 -1.4988 -0.0792
Cu -0.9767 -2.6337 -0.9446
Cu 0.7022 -1.5377 0.5235
Cu -1.6570 -0.5664 0.2551
Ge -3.1590 -1.2412 2.1172
Ge 0.9124 -2.9173 2.5805
```

=====

Entry 17:
The following is a DFT calculation (PBE) of a geometry-optimized Tb12Pm6Cd structure.

Values from the calculation:
formation energy	0.097	eV per atom

```
19
Lattice="8.4610 0.6800 0.8146 -0.6106 8.4663 0.8146 -0.6106 -0.7113 8.4756" Properties=species:S:1:pos:R:3 pbc="T T T"
Tb 6.0044 4.7696 4.7646
Tb 2.8810 6.5165 5.5442
Tb 3.8042 3.4982 7.4023
Tb 1.2355 3.6653 5.3402
Tb 4.3588 1.9184 4.5606
Tb 3.4357 4.9367 2.7025
Tb -0.1977 1.2943 3.2221
Tb 5.9306 5.2648 9.5283
Tb 4.3049 8.1848 8.2557
Tb 7.4376 7.1407 6.8828
Tb 1.3093 3.1701 0.5765
Tb 2.9350 0.2501 1.8492
Pm 5.5069 7.9568 3.8551
Pm 5.7309 2.6322 1.5872
Pm 0.2099 5.8301 2.8735
Pm 1.7330 0.4781 6.2498
Pm 1.5089 5.8027 8.5176
Pm 7.0300 2.6048 7.2313
Cd 0.0000 0.0000 0.0000
```

=====

Entry 18:
The following is a DFT calculation (PBE) of a geometry-optimized Dy6CoPt2 structure.

Values from the calculation:
formation energy	-0.661	eV per atom

```
18
Lattice="6.5590 0.0000 -0.0973 0.0000 7.2607 0.0000 0.1644 0.0000 9.7421" Properties=species:S:1:pos:R:3 pbc="T T T"
Dy 0.9854 0.2626 2.4130
Dy 1.2355 2.3058 5.4953
Dy 1.2624 2.3406 9.0794
Dy 2.2637 5.9709 5.4852
Dy 2.2906 5.9361 9.0692
Dy 2.3763 3.8929 2.4094
Dy 5.7380 6.9980 7.2318
Dy 5.4879 4.9549 4.1495
Dy 5.4610 4.9201 0.5654
Dy 4.4597 1.2897 4.1596
Dy 4.4328 1.3245 0.5756
Dy 4.3471 3.3677 7.2354
Co 3.2795 3.6303 -0.0487
Co 0.0822 0.0000 4.8711
Pt 0.4599 4.4640 7.2983
Pt 3.0662 0.8337 7.2662
Pt 3.6572 6.4270 2.3786
Pt 6.2635 2.7966 2.3465
```

=====

Entry 19:
The following is a DFT calculation (PBE) of a geometry-optimized CsCa2TmI8 structure.

Values from the calculation:
uncorrected formation energy	-1.44	eV per atom

```
12
Lattice="7.6703 0.0456 -0.0004 0.0993 7.3123 -0.0014 0.0135 0.0203 9.9606" Properties=species:S:1:pos:R:3 pbc="T T T"
Cs 0.0067 0.0102 4.9803
Ca 3.8960 3.6938 7.4733
Ca 3.8871 3.6845 2.4856
Tm 0.0000 0.0000 0.0000
I 1.3243 5.5067 2.0378
I 5.2540 5.5335 9.9573
I 6.4417 1.8516 2.0352
I 6.4589 1.8716 7.9211
I 2.5291 1.8448 0.0016
I 1.3415 5.5266 7.9237
I 4.7294 5.3978 4.9742
I 3.0537 1.9805 4.9846
```

=====

Entry 20:
The following is a DFT calculation (PBE) of a geometry-optimized NaTlIn2Pd structure.

Values from the calculation:
formation energy	-0.134	eV per atom

```
5
Lattice="-4.4424 -0.6248 2.5509 0.7539 -5.1049 0.0625 2.6706 0.4526 4.7618" Properties=species:S:1:pos:R:3 pbc="T T T"
Na 1.3353 0.2263 2.3809
Tl -0.5090 -2.6385 3.6876
Pd 0.0000 0.0000 0.0000
In 0.3769 -2.5525 0.0312
In -2.2212 -0.3124 1.2754
```

=====

Entry 21:
The following is a DFT calculation (PBE) of a geometry-optimized ZnRe2As structure.

Values from the calculation:
formation energy	0.147	eV per atom

```
4
Lattice="-0.1659 -2.4191 1.5867 2.3156 0.8417 1.5254 -4.8560 3.7947 5.2776" Properties=species:S:1:pos:R:3 pbc="T T T"
As -2.8283 2.2614 5.7981
Re -0.0937 0.0732 0.1018
Re -0.0328 0.0768 2.7598
Zn -2.1796 1.7032 2.3688
```

=====

Entry 22:
The following is a DFT calculation (PBE) of a geometry-optimized Cs2Te6I structure.

Values from the calculation:
uncorrected formation energy	-0.45	eV per atom

```
9
Lattice="-2.1540 -2.0823 3.9042 -5.8320 -9.5040 -0.6687 5.5830 -6.3163 7.3293" Properties=species:S:1:pos:R:3 pbc="T T T"
Cs -1.1588 -4.5650 3.4732
Cs -1.4866 -13.5861 7.5366
Te -3.6855 -12.2146 4.3970
Te 1.0512 -5.9098 6.6024
Te -4.0822 -7.3433 3.0057
Te 0.1862 -8.6410 6.5494
Te -2.8249 -9.4819 4.4396
Te 1.4336 -10.7851 7.9837
I -1.1989 -1.1658 2.1758
```

=====

Entry 23:
The following is a DFT calculation (PBE) of a geometry-optimized Be3Sb structure.

Values from the calculation:
uncorrected formation energy	0.66	eV per atom

```
4
Lattice="-1.4848 2.5161 -1.0476 -2.0137 -2.1323 -1.0156 -2.9081 0.3653 4.9990" Properties=species:S:1:pos:R:3 pbc="T T T"
Sb -2.4763 0.2832 0.2181
Be -2.6951 0.3385 4.6328
Be -3.9303 0.4659 2.7176
Be -1.6671 0.2094 2.8657
```

=====

Entry 24:
The following is a DFT calculation (PBE) of a geometry-optimized MgF structure.

Values from the calculation:
uncorrected formation energy	-2.31	eV per atom

```
16
Lattice="9.1683 0.0000 0.0000 0.0000 9.1683 0.0000 0.0000 0.0000 3.1518" Properties=species:S:1:pos:R:3 pbc="T T T"
Mg 2.2254 8.9360 0.0000
Mg 6.9429 0.2322 0.0000
Mg 0.2322 2.2254 0.0000
Mg 8.9360 6.9429 0.0000
Mg 6.8095 4.3519 1.5759
Mg 2.3588 4.8164 1.5759
Mg 4.8164 6.8095 1.5759
Mg 4.3519 2.3588 1.5759
F 3.5539 1.3529 0.0000
F 5.6144 7.8154 0.0000
F 7.8154 3.5539 0.0000
F 1.3529 5.6144 0.0000
F 8.1380 5.9370 1.5759
F 1.0303 3.2312 1.5759
F 3.2312 8.1380 1.5759
F 5.9370 1.0303 1.5759
```

=====

no.,calculated total energy (eV/atom)
1,-5.862
2,-4.643
3,-4.516
4,-8.278
5,-4.366
6,-3.894
7,-4.768
8,-8.118
9,-3.908
10,-3.143
11,-6.340
12,-4.010
13,-6.239
14,-3.091
15,-6.278
16,-3.914
17,-4.375
18,-5.861
19,-3.254
20,-3.005
21,-7.558
22,-2.906
23,-3.161
24,-4.047